No. 1
Compound: LaNiGe2
Source: Alexandria
Functional: PBE
Structure: optimized geometry

Structure (POSCAR):
```
LaNiGe2
1.0
0.000 3.410 3.410
3.410 0.000 3.410
3.410 3.410 0.000
La Ni Ge
1 1 2
Direct
0.000 0.000 0.000 La
0.500 0.500 0.500 Ni
0.250 0.250 0.250 Ge
0.750 0.750 0.750 Ge
```

formation enthalpy at 0 K = -190.3 meV per atom
theoretical density = 7.180 g/cm³
symmetry = No. 225
VASP energy = -5.18 eV/atom

No. 2
Compound: MgCdCu
Source: Alexandria
Functional: PBE
Structure: optimized geometry

Structure (POSCAR):
```
MgCdCu
1.0
0.000 3.134 3.134
3.134 0.000 3.134
3.134 3.134 0.000
Mg Cd Cu
1 1 1
Direct
0.000 0.000 0.000 Mg
0.500 0.500 0.500 Cd
0.750 0.750 0.750 Cu
```

formation enthalpy at 0 K = 29.7 meV per atom
theoretical density = 5.403 g/cm³
symmetry = No. 216
VASP energy = -2.17 eV/atom

No. 3
Compound: SrReBr3
Source: Alexandria
Functional: PBE
Structure: optimized geometry

Structure (POSCAR):
```
SrReBr3
1.0
5.186 0.000 0.000
0.000 5.186 0.000
0.000 0.000 5.186
Sr Re Br
1 1 3
Direct
0.000 0.000 0.000 Sr
0.500 0.500 0.500 Re
0.000 0.500 0.500 Br
0.500 0.000 0.500 Br
0.500 0.500 0.000 Br
```

formation energy (no corrections) = -2.67 kcal/mol of atoms
theoretical density = 6.113 g/cm³
symmetry = No. 221
VASP energy = -3.95 eV/atom

No. 4
Compound: Th2FeH
Source: Alexandria
Functional: PBE
Structure: optimized geometry

Structure (POSCAR):
```
Th2FeH
1.0
1.920 1.109 6.560
-1.920 1.109 6.560
0.000 -2.217 6.560
Th Fe H
2 1 1
Direct
0.000 0.000 0.000 Th
0.178 0.178 0.178 Th
0.588 0.588 0.588 Fe
0.414 0.414 0.414 H
```

theoretical density = 10.326 g/cm³
symmetry = No. 160
VASP energy = -6.70 eV/atom

No. 5
Compound: Ac4PSN2
Source: Alexandria
Functional: PBE
Structure: optimized geometry

Structure (POSCAR):
```
Ac4PSN2
1.0
7.101 0.000 0.000
0.000 4.103 0.000
-2.362 0.000 6.904
Ac P S N
4 1 1 2
Direct
0.237 0.000 0.218 Ac
0.259 0.500 0.779 Ac
0.741 0.500 0.221 Ac
0.763 0.000 0.782 Ac
0.000 0.000 0.500 P
0.500 0.500 0.500 S
0.000 0.500 0.000 N
0.500 0.000 0.000 N
```

formation energy (no corrections) = -31.98 kcal/mol of atoms
theoretical density = 8.247 g/cm³
symmetry = No. 10
VASP energy = -6.71 eV/atom

No. 6
Compound: Ba2Tl2Sn
Source: Alexandria
Functional: PBE
Structure: optimized geometry

Structure (POSCAR):
```
Ba2Tl2Sn
1.0
9.816 0.000 0.000
0.000 9.816 0.000
0.000 0.000 4.193
Ba Tl Sn
4 4 2
Direct
0.177 0.323 0.000 Ba
0.323 0.823 0.000 Ba
0.677 0.177 0.000 Ba
0.823 0.677 0.000 Ba
0.123 0.623 0.500 Tl
0.377 0.123 0.500 Tl
0.623 0.877 0.500 Tl
0.877 0.377 0.500 Tl
0.000 0.000 0.000 Sn
0.500 0.500 0.000 Sn
```

formation enthalpy at 0 K = -140.2 meV per atom
theoretical density = 6.593 g/cm³
symmetry = No. 127
VASP energy = -2.66 eV/atom

No. 7
Compound: CsSiTeHSe
Source: Alexandria
Functional: PBE
Structure: optimized geometry

Structure (POSCAR):
```
CsSiTeHSe
1.0
7.671 -2.029 0.000
7.671 2.029 0.000
-2.124 0.000 5.484
Cs Si Te H Se
1 1 1 1 1
Direct
0.000 0.000 0.000 Cs
0.702 0.702 0.734 Si
0.269 0.269 0.028 Te
0.756 0.756 0.567 H
0.549 0.549 0.546 Se
```

theoretical density = 3.585 g/cm³
symmetry = No. 8
VASP energy = -3.78 eV/atom

No. 8
Compound: CaPuMgTl
Source: Alexandria
Functional: PBE
Structure: optimized geometry

Structure (POSCAR):
```
CaPuMgTl
1.0
0.000 3.857 3.857
3.857 0.000 3.857
3.857 3.857 0.000
Ca Pu Mg Tl
1 1 1 1
Direct
0.000 0.000 0.000 Ca
0.500 0.500 0.500 Pu
0.250 0.250 0.250 Mg
0.750 0.750 0.750 Tl
```

formation enthalpy at 0 K = -36.5 meV per atom
theoretical density = 7.419 g/cm³
symmetry = No. 216
VASP energy = -5.11 eV/atom

No. 9
Compound: Sm2Zn5In
Source: Alexandria
Functional: PBE
Structure: optimized geometry

Structure (POSCAR):
```
Sm2Zn5In
1.0
2.220 -8.225 0.000
2.220 8.225 0.000
0.000 0.000 9.077
Sm Zn In
4 10 2
Direct
0.000 0.000 0.000 Sm
0.000 0.000 0.500 Sm
0.205 0.795 0.750 Sm
0.795 0.205 0.250 Sm
0.186 0.814 0.109 Zn
0.186 0.814 0.391 Zn
0.345 0.655 0.017 Zn
0.345 0.655 0.483 Zn
0.394 0.606 0.750 Zn
0.606 0.394 0.250 Zn
0.655 0.345 0.517 Zn
0.655 0.345 0.983 Zn
0.814 0.186 0.609 Zn
0.814 0.186 0.891 Zn
0.445 0.555 0.250 In
0.555 0.445 0.750 In
```

formation enthalpy at 0 K = -355.0 meV per atom
theoretical density = 7.440 g/cm³
symmetry = No. 63
VASP energy = -2.67 eV/atom

No. 10
Compound: SrTeMo2
Source: Alexandria
Functional: PBE
Structure: optimized geometry

Structure (POSCAR):
```
SrTeMo2
1.0
-2.071 2.071 5.149
2.071 -2.071 5.149
2.071 2.071 -5.149
Sr Te Mo
1 1 2
Direct
0.000 0.000 0.000 Sr
0.500 0.500 0.000 Te
0.250 0.750 0.500 Mo
0.750 0.250 0.500 Mo
```

formation energy (no corrections) = 18.58 kcal/mol of atoms
theoretical density = 7.656 g/cm³
symmetry = No. 139
VASP energy = -5.82 eV/atom

No. 11
Compound: Pm3Pr6Nd2
Source: Alexandria
Functional: PBE
Structure: optimized geometry

Structure (POSCAR):
```
Pm3Pr6Nd2
1.0
-2.420 2.420 17.361
2.420 -2.420 17.361
2.420 2.420 -17.361
Pm Pr Nd
3 6 2
Direct
0.000 0.000 0.000 Pm
0.195 0.195 0.000 Pm
0.805 0.805 0.000 Pm
0.120 0.620 0.500 Pr
0.294 0.294 0.000 Pr
0.380 0.880 0.500 Pr
0.620 0.120 0.500 Pr
0.706 0.706 0.000 Pr
0.880 0.380 0.500 Pr
0.455 0.455 0.000 Nd
0.545 0.545 0.000 Nd
```

formation enthalpy at 0 K = 259.3 meV per atom
theoretical density = 6.406 g/cm³
symmetry = No. 139
VASP energy = -4.51 eV/atom

No. 12
Compound: RbNClF2
Source: Alexandria
Functional: PBE
Structure: optimized geometry

Structure (POSCAR):
```
RbNClF2
1.0
5.196 0.000 0.000
0.000 5.196 0.000
0.000 0.000 6.020
Rb N Cl F
1 1 1 2
Direct
0.000 0.000 0.000 Rb
0.000 0.000 0.500 N
0.500 0.500 0.500 Cl
0.000 0.500 0.000 F
0.500 0.000 0.000 F
```

formation energy (no corrections) = 9.71 kcal/mol of atoms
theoretical density = 1.767 g/cm³
symmetry = No. 123
VASP energy = -2.56 eV/atom

No. 13
Compound: TlGaAgPt
Source: Alexandria
Functional: PBE
Structure: optimized geometry

Structure (POSCAR):
```
TlGaAgPt
1.0
3.160 0.000 0.000
0.000 3.271 0.000
0.037 1.609 7.686
Tl Ga Ag Pt
1 1 1 1
Direct
0.000 0.000 0.000 Tl
0.000 0.782 0.441 Ga
0.497 0.171 0.665 Ag
0.502 0.363 0.276 Pt
```

formation enthalpy at 0 K = -101.1 meV per atom
theoretical density = 12.060 g/cm³
symmetry = No. 1
VASP energy = -3.67 eV/atom

No. 14
Compound: Er2MgCu
Source: Alexandria
Functional: PBE
Structure: optimized geometry

Structure (POSCAR):
```
Er2MgCu
1.0
3.453 0.000 0.000
0.000 3.453 0.000
0.000 0.000 7.972
Er Mg Cu
2 1 1
Direct
0.000 0.000 0.210 Er
0.000 0.000 0.790 Er
0.500 0.500 0.500 Mg
0.500 0.500 0.000 Cu
```

formation enthalpy at 0 K = -158.4 meV per atom
theoretical density = 7.379 g/cm³
symmetry = No. 123
VASP energy = -3.86 eV/atom